# Al2MoF, optimized geometry, DFT PBE+U
# * final energy: -16.09 eV for the cell shown
# * DOS(E_F): 1.55 states/eV/cell
# * energy relative to the lowest polymorph listed for this composition: 0.166 eV per atom
data_Al2MoF
_chemical_formula_sum 'Al2 Mo1 F1'
_cell_length_a 4.552
_cell_length_b 4.552
_cell_length_c 4.552
_cell_angle_alpha 60.00
_cell_angle_beta 60.00
_cell_angle_gamma 60.00
_space_group_name_H-M_alt 'P 1'
_space_group_IT_number 1
_space_group_name_Hall 'P 1'
loop_
_atom_site_label
_atom_site_fract_x
_atom_site_fract_y
_atom_site_fract_z
_atom_site_occupancy
Mo1 0.500 0.500 0.500 1
F1 0.000 0.000 0.000 1
Al1 0.750 0.750 0.750 1
Al2 0.250 0.250 0.250 1